Entry 1:
Below is U2Fe3NiB12 after structural relaxation, with properties calculated at the GGA-PBE level.

Output
Formation energy from the elements (eV per atom): 0.03
Total energy (eV/atom): -7.410
Volume (Å³/atom): 10.20

```
18
Lattice="-2.701 0.234 7.441 2.395 -1.543 7.389 1.369 3.728 6.851" Properties=species:S:1:pos:R:3 pbc="T T T"
Ni 0.000 0.000 0.000
U 0.383 0.872 7.814
U 0.680 1.548 13.866
Fe -1.350 0.117 3.720
Fe 1.197 -0.771 3.694
Fe 0.685 1.864 3.425
B 0.908 2.447 5.436
B -0.400 1.343 5.198
B -0.070 -0.356 5.371
B 1.133 2.775 16.309
B 1.545 -0.826 5.770
B 1.242 0.771 5.181
B -0.482 3.246 15.910
B 0.155 -0.027 16.244
B -0.179 1.649 16.499
B -1.619 0.277 5.802
B 1.463 1.077 16.483
B 2.682 2.143 15.878
```


Entry 2:
Below is Zn2FeNi5B2 after structural relaxation, with properties calculated at the GGA-PBE level.

Output
Formation energy from the elements (eV per atom): -0.13
Total energy (eV/atom): -5.462
Volume (Å³/atom): 10.66

```
20
Lattice="2.836 0.000 0.000 0.000 8.670 0.000 0.000 0.000 8.670" Properties=species:S:1:pos:R:3 pbc="T T T"
Ni 1.418 4.335 0.000
Ni 1.418 0.589 6.756
Ni 1.418 4.924 6.250
Ni 1.418 0.000 4.335
Ni 1.418 3.747 2.420
Ni 1.418 6.756 8.082
Ni 1.418 2.420 4.924
Ni 1.418 6.250 3.747
Ni 1.418 1.915 0.589
Ni 1.418 8.082 1.915
B 0.000 7.607 3.272
B 0.000 1.063 5.399
B 0.000 3.272 1.063
B 0.000 5.399 7.607
Zn 0.000 7.118 5.888
Zn 0.000 5.888 1.552
Zn 0.000 1.552 2.783
Zn 0.000 2.783 7.118
Fe 0.000 0.000 0.000
Fe 0.000 4.335 4.335
```


Entry 3:
Below is NpFeB2 after structural relaxation, with properties calculated at the GGA-PBE level.

Output
Formation energy from the elements (eV per atom): -0.32
Total energy (eV/atom): -9.012
Volume (Å³/atom): 11.10
E above lowest polymorph (meV/atom): 0

```
16
Lattice="-2.314 -4.517 -1.202 1.319 0.791 -5.512 5.152 -2.858 0.823" Properties=species:S:1:pos:R:3 pbc="T T T"
Np 4.475 -3.189 -2.289
Np 0.112 -4.396 -0.671
Np 4.045 -2.189 -5.219
Np -0.318 -3.396 -3.601
B 3.707 -5.256 -0.616
B 0.450 -1.328 -5.275
B 1.850 -2.866 -2.190
B 2.942 -6.750 -1.013
B 2.615 -1.372 -1.793
B 2.307 -3.718 -3.700
B 1.216 0.165 -4.878
B 1.542 -5.212 -4.098
Fe 2.061 -1.539 -3.841
Fe 3.632 -5.136 -4.666
Fe 0.525 -1.449 -1.225
Fe 2.096 -5.045 -2.050
```